First-principles (PBE) data for a relaxed structure of SbTe2Br, as listed in Alexandria.

Its space group is Imm2. The calculation puts the uncorrected formation energy at -43 meV per atom. The energy relative to the lowest polymorph listed for this composition comes out at 133 meV/atom. For the density of states at the Fermi level, the calculation gives 1.539 states/eV per cell.

Cell: 7.666 7.666 7.666 Å, 149.14 139.52 51.76°
Positions (direct):
1 Sb 0.732 0.232 0.500
2 Te 0.297 0.797 0.500
3 Te 0.894 0.894 0.000
4 Br 0.577 0.577 0.000

***

First-principles (PBE) data for a relaxed structure of Rb3PaF8, as listed in Alexandria.

Its space group is I4/mmm. The calculation puts the uncorrected formation energy at -3410 meV per atom. For the density of states at the Fermi level, the calculation gives 0.000 states/eV per cell.

Cell: 6.254 6.254 7.601 Å, 114.29 114.29 90.00°
Positions (direct):
1 F 0.898 0.310 0.209
2 F 0.690 0.102 0.791
3 F 0.310 0.310 0.209
4 F 0.310 0.898 0.209
5 F 0.690 0.690 0.791
6 F 0.102 0.102 0.791
7 F 0.102 0.690 0.791
8 F 0.898 0.898 0.209
9 Pa 0.000 0.000 0.000
10 Rb 0.500 0.500 0.000
11 Rb 0.250 0.750 0.500
12 Rb 0.750 0.250 0.500

***

First-principles (PBE) data for a relaxed structure of K4TePb, as listed in Alexandria.

Its space group is F-43m. The calculation puts the uncorrected formation energy at 33 meV per atom. For the density of states at the Fermi level, the calculation gives 2.987 states/eV per cell.

Cell: 7.109 7.109 7.109 Å, 60.00 60.00 60.00°
Each line ends with the local moment (μB).
Positions (direct):
1 Pb 0.750 0.750 0.750  0.45
2 K 0.374 0.878 0.374  0.01
3 K 0.374 0.374 0.878  0.01
4 K 0.878 0.374 0.374  0.01
5 K 0.374 0.374 0.374  0.01
6 Te 0.000 0.000 0.000  0.15

***

First-principles (PBE) data for a relaxed structure of CaInAg, as listed in Alexandria.

Its space group is F-43m. The calculation puts the formation energy at 0.15 eV per atom. For the density of states at the Fermi level, the calculation gives 3.258 states/eV per cell.

Cell: 5.064 5.064 5.064 Å, 60.00 60.00 60.00°
Positions (direct):
1 Ag 0.500 0.500 0.500
2 Ca 0.250 0.250 0.250
3 In 0.000 0.000 0.000

***

Q: Number 2 is which compound?
A: Rb3PaF8